Record 1
## Ac12SmIr7 (GGA-PBE)

Data for an optimized crystal structure of Ac12SmIr7.

Results
Its formation energy from the elements is -568 meV/atom.

Cell: 9.6012 9.6012 9.6012 Å, 107.37 107.37 107.37°
Positions (direct):
Ac1 0.0534 0.1307 0.3430
Ac2 0.1307 0.3430 0.0534
Ac3 0.1859 0.5750 0.7164
Ac4 0.2836 0.8141 0.4250
Ac5 0.3430 0.0534 0.1307
Ac6 0.4250 0.2836 0.8141
Ac7 0.5750 0.7164 0.1859
Ac8 0.6570 0.9466 0.8693
Ac9 0.7164 0.1859 0.5750
Ac10 0.8141 0.4250 0.2836
Ac11 0.8693 0.6570 0.9466
Ac12 0.9466 0.8693 0.6570
Sm1 0.5000 0.5000 0.5000
Ir1 0.0000 0.0000 0.0000
Ir2 0.1540 0.4731 0.3818
Ir3 0.3818 0.1540 0.4731
Ir4 0.4731 0.3818 0.1540
Ir5 0.5269 0.6182 0.8460
Ir6 0.6182 0.8460 0.5269
Ir7 0.8460 0.5269 0.6182

***

Record 2
## Ba2CuHPt (GGA-PBE)

Data for an optimized crystal structure of Ba2CuHPt.

Results
As for the total energy: -18.99 eV per formula unit.

Cell: 5.5159 5.5159 3.8936 Å, 90.00 90.00 90.00°
Positions (direct):
Ba1 0.0000 0.5000 0.0000
Ba2 0.5000 0.0000 0.0000
Cu1 0.0000 0.0000 0.5000
H1 0.0000 0.0000 0.0000
Pt1 0.5000 0.5000 0.5000

***

Record 3
## BaZrTiAu2 (GGA-PBE)

Data for an optimized crystal structure of BaZrTiAu2.

Results
Its formation energy from the elements is 1504 meV/atom.

Cell: 5.5092 5.5092 5.1473 Å, 90.00 90.00 90.00°
Positions (direct):
Ba1 0.0000 0.0000 0.0000
Zr1 0.5000 0.5000 0.5000
Ti1 0.0000 0.0000 0.5000
Au1 0.0000 0.5000 0.0000
Au2 0.5000 0.0000 0.0000

***

Record 4
## Pm4HfPa3N8 (GGA-PBE)

Data for an optimized crystal structure of Pm4HfPa3N8.

Results
As for the total energy: -149.77 eV per formula unit.

Cell: 7.0594 7.0594 7.0594 Å, 59.47 59.47 59.47°
Positions (direct):
Pm1 0.0000 0.0000 0.0000
Pm2 0.0000 0.5000 0.5000
Pm3 0.5000 0.0000 0.5000
Pm4 0.5000 0.5000 0.0000
Hf1 0.5000 0.5000 0.5000
Pa1 0.0000 0.0000 0.5000
Pa2 0.0000 0.5000 0.0000
Pa3 0.5000 0.0000 0.0000
N1 0.2395 0.2395 0.2395
N2 0.2462 0.7322 0.7322
N3 0.2678 0.2678 0.7538
N4 0.2678 0.7538 0.2678
N5 0.7322 0.2462 0.7322
N6 0.7322 0.7322 0.2462
N7 0.7538 0.2678 0.2678
N8 0.7605 0.7605 0.7605

***

Record 5
## Tb2Si7Au12 (GGA-PBE)

Data for an optimized crystal structure of Tb2Si7Au12.

Results
As for the total energy: -91.32 eV per formula unit.

Cell: 10.1442 10.1442 4.3527 Å, 90.00 90.00 120.00°
Positions (direct):
Tb1 0.3333 0.6667 0.2575
Tb2 0.6667 0.3333 0.7425
Si1 0.0000 0.0000 0.0000
Si2 0.1138 0.3966 0.7817
Si3 0.2828 0.8862 0.7817
Si4 0.3966 0.2828 0.2183
Si5 0.6034 0.7172 0.7817
Si6 0.7172 0.1138 0.2183
Si7 0.8862 0.6034 0.2183
Au1 0.0757 0.6140 0.7442
Au2 0.1257 0.8590 0.2844
Au3 0.1410 0.2667 0.2844
Au4 0.2667 0.1257 0.7156
Au5 0.3860 0.4617 0.7442
Au6 0.4617 0.0757 0.2558
Au7 0.5383 0.9243 0.7442
Au8 0.6140 0.5383 0.2558
Au9 0.7333 0.8743 0.2844
Au10 0.8590 0.7333 0.7156
Au11 0.8743 0.1410 0.7156
Au12 0.9243 0.3860 0.2558

***

Record 6
## Sr2Be2Ni (GGA-PBE)

Data for an optimized crystal structure of Sr2Be2Ni.

Results
Its formation energy from the elements is 501 meV/atom.

Cell: 6.8547 6.8547 4.6414 Å, 90.00 90.00 90.00°
Positions (direct):
Sr1 0.1908 0.3092 0.0000
Sr2 0.3092 0.8092 0.0000
Sr3 0.6908 0.1908 0.0000
Sr4 0.8092 0.6908 0.0000
Be1 0.1136 0.6136 0.5000
Be2 0.3864 0.1136 0.5000
Be3 0.6136 0.8864 0.5000
Be4 0.8864 0.3864 0.5000
Ni1 0.0000 0.0000 0.5000
Ni2 0.5000 0.5000 0.5000

***

| no. | volume (Å³/cell) |
| --- | --- |
| 1 | 729.6 |
| 2 | 118.5 |
| 3 | 156.2 |
| 4 | 245.8 |
| 5 | 387.9 |
| 6 | 218.1 |